(1)
A plane-wave DFT calculation with PBE was carried out for a geometry-optimized LiAgBi2 structure.

* raw total energy: -12.94 eV/f.u.
* ρ: 8.53 Mg/m³
* volume: 25.94 A^3/atom

```
data_LiAgBi2
_cell_length_a 7.459
_cell_length_b 7.459
_cell_length_c 7.459
_cell_angle_alpha 90.00
_cell_angle_beta 90.00
_cell_angle_gamma 90.00
_symmetry_space_group_name_H-M 'F -4 3 m'
_symmetry_Int_Tables_number 216
_symmetry_space_group_name_Hall 'F -4 2 3'
loop_
_atom_site_label
_atom_site_fract_x
_atom_site_fract_y
_atom_site_fract_z
Li1 0.000 0.000 0.000
Ag1 0.250 0.250 0.250
Bi1 0.000 0.000 0.500
Bi2 0.250 0.250 0.750
```



(2)
A plane-wave DFT calculation with PBE was carried out for a geometry-optimized Li2Ag2Bi structure.

* raw total energy: -14.03 eV/f.u.
* ρ: 7.63 Mg/m³
* volume: 19.09 A^3/atom

```
data_Li2Ag2Bi
_cell_length_a 4.009
_cell_length_b 4.009
_cell_length_c 11.883
_cell_angle_alpha 90.00
_cell_angle_beta 90.00
_cell_angle_gamma 90.00
_symmetry_space_group_name_H-M 'I 4/m m m'
_symmetry_Int_Tables_number 139
_symmetry_space_group_name_Hall '-I 4 2'
loop_
_atom_site_label
_atom_site_fract_x
_atom_site_fract_y
_atom_site_fract_z
Li1 0.000 0.000 0.103
Ag1 0.000 0.500 0.250
Bi1 0.000 0.000 0.500
```



(3)
A plane-wave DFT calculation with PBE was carried out for a geometry-optimized LiNd2AgBi4 structure.

* magnetization: 0.00 μB per formula unit
* raw total energy: -35.44 eV/f.u.
* ρ: 9.29 Mg/m³
* volume: 27.70 A^3/atom

```
data_LiNd2AgBi4
_cell_length_a 4.554
_cell_length_b 4.554
_cell_length_c 10.682
_cell_angle_alpha 90.00
_cell_angle_beta 90.00
_cell_angle_gamma 90.00
_symmetry_space_group_name_H-M 'P -4 m 2'
_symmetry_Int_Tables_number 115
loop_
_symmetry_equiv_pos_as_xyz
'x,y,z'
'y,-x,-z'
'-x,-y,z'
'-y,x,-z'
'-x,y,z'
'-y,-x,-z'
'x,-y,z'
'y,x,-z'
loop_
_atom_site_label
_atom_site_fract_x
_atom_site_fract_y
_atom_site_fract_z
Li1 0.000 0.000 0.000
Nd1 0.000 0.500 0.256
Ag1 0.500 0.500 0.000
Bi1 0.000 0.000 0.500
Bi2 0.000 0.500 0.826
Bi3 0.500 0.500 0.500
```